# Ni2Hg

Ni2Hg after structural relaxation (PBE, Alexandria).

Lattice parameters (Å, degrees): 4.933 4.933 4.933 60.00 60.00 60.00
Last column: magnetic moment on the atom in μB.
Atoms (fractional coordinates):
Ni 0.625 0.625 0.125  0.47
Ni 0.125 0.625 0.625  0.47
Ni 0.625 0.625 0.625  0.47
Ni 0.625 0.125 0.625  0.47
Hg 0.000 0.000 0.000  0.01
Hg 0.250 0.250 0.250  0.01

Computed properties:
calculated formation energy	0.2174	eV/atom
total magnetization	0.93	μB per formula unit
calculated density	12.4	g/cm³
V	14.15	A^3/atom
N(E_F)	4.2	states/eV per cell